Entry 1:
VASP calculation (PBE-GGA) on BeTl2Si after structural relaxation.

Cell lengths 3.2936, 3.2956, 8.3671 Å; angles 90.00, 90.00, 90.00 degrees
Atoms (fractional coordinates):
Be 0.0000 0.0000 0.5924
Tl 0.0000 0.0000 0.9380
Tl 0.5000 0.5000 0.3064
Si 0.5000 0.5000 0.6632

Calculated values
For the energy above the most stable polymorph in this dataset, the calculation gives 203 meV per atom. Its symmetry is P4mm, No. 99. Its energy relative to the elements, uncorrected is 0.44 eV/atom.

---

Entry 2:
VASP calculation (PBE-GGA) on K2InSbAu6 after structural relaxation.

Cell lengths 7.5462, 7.5500, 7.5542 Å; angles 60.00, 60.01, 90.01 degrees
Atoms (fractional coordinates):
K 0.7502 0.2502 0.4997
K 0.2498 0.7498 0.5003
In 0.0000 0.0000 0.0000
Sb 0.5000 0.5000 0.0000
Au 0.2497 0.2497 0.5008
Au 0.7505 0.7503 0.0003
Au 0.2494 0.7506 0.0000
Au 0.7506 0.2494 0.0000
Au 0.2495 0.2497 0.9997
Au 0.7503 0.7503 0.4992

Calculated values
Its symmetry is C2/m, No. 12. Its energy relative to the elements, uncorrected is -0.10 eV/atom.

---

Entry 3:
VASP calculation (PBE-GGA) on Co2PRh after structural relaxation.

Cell lengths 4.8441, 4.8441, 4.8441 Å; angles 147.28, 129.49, 61.49 degrees
Atoms (fractional coordinates):
Co 0.9626 0.9626 0.0000
Co 0.5374 0.5374 0.0000
P 0.7500 0.2500 0.5000
Rh 0.2500 0.7500 0.5000

Calculated values
Its symmetry is Immm, No. 71. The formation enthalpy at 0 K comes out at -0.24 eV/atom.